The following is a DFT calculation (PBE) of a relaxed CrCuSb2 crystal.

Properties
ρ, g cm⁻³: 7.9
Energy relative to the elements, uncorrected, kcal/mol of atoms: 6.810

Lattice parameters (Å, degrees): 3.3261 3.3261 23.4909 90.00 90.00 120.00
Space group R-3m (No. 166, hexagonal axes)
Symmetry-distinct sites (fractional):
Cr 0.0000 0.0000 0.0000 [3 per cell]
Cu 0.0000 0.0000 0.5000 [3 per cell]
Sb 0.0000 0.0000 0.2531 [6 per cell]